# KMnAlPt2

A geometry-optimized KMnAlPt2 structure (PBE-GGA, Alexandria).

Unit cell a=4.727 b=4.685 c=4.727 alpha=90.00 beta=90.00 gamma=90.00
Sites, in units of the cell vectors:
1 Al 0.000 0.500 0.000
2 Pt 0.500 0.000 0.000
3 Pt 0.000 0.000 0.500
4 K 0.500 0.500 0.500
5 Mn 0.000 0.000 0.000

Results
Formation enthalpy at 0 K: 0.405 eV per atom
DOS(E_F): 4.63 states/eV/cell

# K4Ac3TiS8

A geometry-optimized K4Ac3TiS8 structure (PBE-GGA, Alexandria).

Unit cell a=8.515 b=8.899 c=8.515 alpha=118.59 beta=120.00 gamma=90.00
Sites, in units of the cell vectors:
1 K 0.000 0.000 0.500
2 K 0.000 0.000 0.000
3 K 0.500 0.000 0.000
4 K 0.500 0.000 0.500
5 S 0.741 0.722 0.481
6 S 0.232 0.300 0.016
7 S 0.783 0.299 0.567
8 S 0.784 0.300 0.016
9 S 0.217 0.701 0.433
10 S 0.768 0.700 0.984
11 S 0.216 0.700 0.984
12 S 0.259 0.278 0.519
13 Ac 0.000 0.500 0.500
14 Ac 0.500 0.500 0.000
15 Ac 0.500 0.500 0.500
16 Ti 0.000 0.500 0.000

Results
DOS(E_F): 6.53 states/eV/cell
Formation energy without anion corrections: -1.67 eV per atom